# 1
The following is a PBE calculation of a relaxed Ga2AgAuN4 crystal, from the Open Quantum Materials Database.

Structure (POSCAR):
```
Ga2AgAuN4
1.0
3.0273 0.0000 0.0000
-1.5136 2.6217 0.0000
0.0000 0.0000 12.3820
Ga Ag Au N
2 1 1 4
direct
0.0000 0.0000 0.2488
0.0000 0.0000 0.7512
0.3333 0.6667 0.0000
0.6667 0.3333 0.5000
0.3333 0.6667 0.1648
0.3333 0.6667 0.8352
0.6667 0.3333 0.3393
0.6667 0.3333 0.6607
```

Summary:
Calculated volume = 98.27 Å³/cell
Final energy = -4.938 eV per atom

---

# 2
The following is a PBE calculation of a relaxed Sr2TlH6Pt crystal, from the Open Quantum Materials Database.

Structure (POSCAR):
```
Sr2TlH6Pt
1.0
0.0000 4.0934 4.0934
4.0934 0.0000 4.0934
4.0934 4.0934 0.0000
Sr Tl H Pt
2 1 6 1
direct
0.2500 0.2500 0.2500
0.7500 0.7500 0.7500
0.0000 0.0000 0.0000
0.2880 0.2880 0.7120
0.2880 0.7120 0.2880
0.2880 0.7120 0.7120
0.7120 0.2880 0.2880
0.7120 0.2880 0.7120
0.7120 0.7120 0.2880
0.5000 0.5000 0.5000
```

Summary:
Calculated volume = 137.18 Å³/cell
Final energy = -3.502 eV per atom

---

# 3
The following is a PBE calculation of a relaxed NpI2Cl8 crystal, from the Open Quantum Materials Database.

Structure (POSCAR):
```
NpI2Cl8
1.0
8.0050 -3.6041 0.0000
8.0050 3.6041 0.0000
-1.9914 0.0000 7.0385
Np I Cl
1 2 8
direct
0.0000 0.0000 0.0000
0.2541 0.2541 0.4747
0.7459 0.7459 0.5253
0.0747 0.0747 0.3634
0.1381 0.6576 0.0465
0.3424 0.8619 0.9535
0.4079 0.4079 0.5712
0.5921 0.5921 0.4288
0.6576 0.1381 0.0465
0.8619 0.3424 0.9535
0.9253 0.9253 0.6366
```

Summary:
Calculated volume = 406.14 Å³/cell
Final energy = -3.649 eV per atom

---

# 4
The following is a PBE calculation of a relaxed Li2Ta2In2IrOs crystal, from the Open Quantum Materials Database.

Structure (POSCAR):
```
Li2Ta2In2IrOs
1.0
4.4967 0.0000 0.0000
0.0000 4.4967 0.0000
0.0000 0.0000 6.3584
Li Ta In Ir Os
2 2 2 1 1
direct
0.0000 0.0000 0.0000
0.5000 0.5000 0.5000
0.0000 0.5000 0.7482
0.5000 0.0000 0.2518
0.0000 0.5000 0.2515
0.5000 0.0000 0.7485
0.5000 0.5000 0.0000
0.0000 0.0000 0.5000
```

Summary:
Calculated volume = 128.57 Å³/cell
Final energy = -6.881 eV per atom